[1]
4
Lattice="0.000 3.563 3.563 3.563 0.000 3.563 3.563 3.563 0.000" Properties=species:S:1:pos:R:3 comment="InTcPb2 meta-GGA SCAN single point on PBEsol structure" ef_mev_per_atom=731 dos_ef_per_ev_atom=0.352 pbc="T T T"
In 0.000 0.000 0.000
Tc 1.782 1.782 1.782
Pb 3.563 3.563 3.563
Pb 5.345 5.345 5.345



[2]
13
Lattice="2.423 1.399 9.122 -2.423 1.399 9.122 0.000 -2.798 9.122" Properties=species:S:1:pos:R:3 comment="Ta6Cr7 meta-GGA SCAN single point on PBEsol structure" ef_mev_per_atom=-50 dos_ef_per_ev_atom=0.860 pbc="T T T"
Ta 0.000 0.000 1.311
Ta 0.000 0.000 4.106
Ta 0.000 0.000 9.106
Ta 0.000 0.000 18.261
Ta 0.000 0.000 23.261
Ta 0.000 0.000 26.056
Cr -1.222 -0.706 11.671
Cr 0.000 -1.411 15.696
Cr -1.222 0.706 15.696
Cr 0.000 0.000 13.684
Cr 1.222 -0.706 11.671
Cr 0.000 1.411 11.671
Cr 1.222 0.706 15.696



[3]
5
Lattice="4.526 0.000 0.000 0.000 4.526 0.000 0.000 0.000 4.526" Properties=species:S:1:pos:R:3 comment="GeTeF3 meta-GGA SCAN single point on PBEsol structure" total_energy_ev_per_fu=-70.27 dos_ef_per_ev_atom=0.641 pbc="T T T"
Ge 0.000 0.000 0.000
Te 2.263 2.263 2.263
F 0.000 2.263 2.263
F 2.263 0.000 2.263
F 2.263 2.263 0.000